[1]
Entry from the Alexandria database: a geometry-optimized PmNbSn2 structure (GGA-PBE).

Cell lengths 3.225, 3.225, 34.081 Å; angles 90.00, 90.00, 120.00 degrees
Element x y z (fractional)
Pm 0.000 0.000 0.000
Pm 0.333 0.667 0.667
Pm 0.667 0.333 0.333
Nb 0.000 0.000 0.500
Nb 0.333 0.667 0.167
Nb 0.667 0.333 0.833
Sn 0.000 0.000 0.416
Sn 0.000 0.000 0.584
Sn 0.333 0.667 0.083
Sn 0.333 0.667 0.250
Sn 0.667 0.333 0.750
Sn 0.667 0.333 0.917

Computed properties:
Magnetic moment: 0.0 μB per cell
Energy relative to the elements: 261 meV/atom
Symmetry: R-3m
Total energy: -5.45 eV per atom

=====

[2]
Entry from the Alexandria database: a geometry-optimized Pm6NbSn10 structure (GGA-PBE).

Cell lengths 9.321, 9.321, 6.249 Å; angles 90.00, 90.00, 120.00 degrees
Element x y z (fractional)
Pm 0.000 0.388 0.259
Pm 0.000 0.612 0.741
Pm 0.388 0.000 0.259
Pm 0.388 0.388 0.741
Pm 0.612 0.000 0.741
Pm 0.612 0.612 0.259
Nb 0.000 0.000 0.500
Sn 0.000 0.232 0.793
Sn 0.000 0.768 0.207
Sn 0.232 0.000 0.793
Sn 0.232 0.232 0.207
Sn 0.333 0.667 0.000
Sn 0.333 0.667 0.500
Sn 0.667 0.333 0.000
Sn 0.667 0.333 0.500
Sn 0.768 0.000 0.207
Sn 0.768 0.768 0.793

Computed properties:
Magnetic moment: 0.0 μB per cell
Energy relative to the elements: -521 meV/atom
Symmetry: P-31m
Total energy: -5.15 eV per atom

=====

[3]
Entry from the Alexandria database: a geometry-optimized Tb2PmNb structure (GGA-PBE).

Cell lengths 3.323, 3.323, 35.251 Å; angles 90.00, 90.00, 120.00 degrees
Element x y z (fractional)
Tb 0.000 0.000 0.082
Tb 0.000 0.000 0.918
Tb 0.333 0.667 0.585
Tb 0.333 0.667 0.749
Tb 0.667 0.333 0.251
Tb 0.667 0.333 0.415
Pm 0.000 0.000 0.500
Pm 0.333 0.667 0.167
Pm 0.667 0.333 0.833
Nb 0.000 0.000 0.000
Nb 0.333 0.667 0.667
Nb 0.667 0.333 0.333

Computed properties:
Magnetic moment: 0.9 μB per cell
Energy relative to the elements: 556 meV/atom
Symmetry: R-3m
Total energy: -5.46 eV per atom

=====

[4]
Entry from the Alexandria database: a geometry-optimized TbPm2Nb structure (GGA-PBE).

Cell lengths 3.350, 3.350, 35.269 Å; angles 90.00, 90.00, 120.00 degrees
Element x y z (fractional)
Tb 0.000 0.000 0.000
Tb 0.333 0.667 0.667
Tb 0.667 0.333 0.333
Pm 0.000 0.000 0.418
Pm 0.000 0.000 0.582
Pm 0.333 0.667 0.084
Pm 0.333 0.667 0.249
Pm 0.667 0.333 0.751
Pm 0.667 0.333 0.916
Nb 0.000 0.000 0.500
Nb 0.333 0.667 0.167
Nb 0.667 0.333 0.833

Computed properties:
Magnetic moment: 0.0 μB per cell
Energy relative to the elements: 569 meV/atom
Symmetry: R-3m
Total energy: -5.48 eV per atom

=====

[5]
Entry from the Alexandria database: a geometry-optimized PmNbTc structure (GGA-PBE).

Cell lengths 4.468, 4.468, 7.483 Å; angles 90.00, 90.00, 120.00 degrees
Element x y z (fractional)
Pm 0.333 0.667 0.369
Pm 0.667 0.333 0.631
Nb 0.333 0.667 0.923
Nb 0.667 0.333 0.077
Tc 0.000 0.000 0.180
Tc 0.000 0.000 0.820

Computed properties:
Magnetic moment: 0.0 μB per cell
Energy relative to the elements: 59 meV/atom
Symmetry: P-3m1
Total energy: -8.34 eV per atom

=====

[6]
Entry from the Alexandria database: a geometry-optimized PmNbTc2 structure (GGA-PBE).

Cell lengths 3.286, 3.286, 6.954 Å; angles 90.00, 90.00, 90.00 degrees
Element x y z (fractional)
Pm 0.000 0.000 0.000
Nb 0.000 0.000 0.500
Tc 0.500 0.500 0.285
Tc 0.500 0.500 0.715

Computed properties:
Magnetic moment: 0.0 μB per cell
Energy relative to the elements: 31 meV/atom
Symmetry: P4/mmm
Total energy: -8.86 eV per atom

=====

[7]
Entry from the Alexandria database: a geometry-optimized PmNb4Te8 structure (GGA-PBE).

Cell lengths 8.937, 8.937, 8.937 Å; angles 49.87, 49.87, 49.87 degrees
Element x y z (fractional)
Pm 0.000 0.000 0.000
Nb 0.000 0.000 0.500
Nb 0.000 0.500 0.000
Nb 0.500 0.000 0.000
Nb 0.500 0.500 0.500
Te 0.244 0.244 0.244
Te 0.254 0.739 0.739
Te 0.261 0.261 0.746
Te 0.261 0.746 0.261
Te 0.739 0.254 0.739
Te 0.739 0.739 0.254
Te 0.746 0.261 0.261
Te 0.756 0.756 0.756

Computed properties:
Magnetic moment: 0.0 μB per cell
Symmetry: R-3m
Energy relative to the elements, uncorrected: -0.4936 eV/atom
Total energy: -5.89 eV per atom

=====

[8]
Entry from the Alexandria database: a geometry-optimized PmNbTe structure (GGA-PBE).

Cell lengths 6.576, 6.576, 6.576 Å; angles 73.26, 73.26, 73.26 degrees
Element x y z (fractional)
Pm 0.000 0.393 0.607
Pm 0.393 0.607 0.000
Pm 0.607 0.000 0.393
Nb 0.000 0.000 0.000
Nb 0.170 0.170 0.170
Nb 0.830 0.830 0.830
Te 0.215 0.785 0.500
Te 0.500 0.215 0.785
Te 0.785 0.500 0.215

Computed properties:
Magnetic moment: 0.5 μB per cell
Symmetry: R32
Energy relative to the elements, uncorrected: -0.0842 eV/atom
Total energy: -6.07 eV per atom

=====

> Which of these has the highest total energy?

Pm6NbSn10

=====

> The lowest total energy belongs to which entry?

PmNbTc2

=====

> magnetic moment of number 1 (PmNbSn2)?

0.0 μB per cell